VASP calculation (PBE+U) on a relaxed CrPO5 crystal.

Relative energy among the computed polymorphs   403.2 meV/atom
Total energy   -6.685 eV/atom
Volume   474.2 Å³/cell

Structure (CIF):
```
data_CrPO5
_cell_length_a 5.311
_cell_length_b 9.850
_cell_length_c 10.353
_cell_angle_alpha 114.20
_cell_angle_beta 103.37
_cell_angle_gamma 92.80
_space_group_name_H-M_alt 'P -1'
_space_group_IT_number 2
loop_
_space_group_symop_operation_xyz
'x,y,z'
'-x,-y,-z'
loop_
_atom_site_label
_atom_site_fract_x
_atom_site_fract_y
_atom_site_fract_z
Cr1 0.088 0.032 0.400
Cr2 0.288 0.211 0.194
P1 0.228 0.863 0.104
P2 0.458 0.596 0.112
O1 0.004 0.188 0.033
O2 0.038 0.518 0.457
O3 0.082 0.199 0.322
O4 0.143 0.867 0.238
O5 0.210 0.970 0.553
O6 0.266 0.217 0.460
O7 0.282 0.452 0.952
O8 0.390 0.013 0.138
O9 0.421 0.742 0.069
O10 0.490 0.646 0.745
```